Na2PuMgSe4: optimized geometry, PBE.

Values from the calculation:
**Formation energy (no corrections)**: -1.233 eV/atom
**Final energy**: -5.2958 eV per atom

a b c (Å): 6.965 4.118 7.351
angles (deg): 90.00 108.89 90.00
Fractional positions:
Na1 0.000 0.000 0.000
Na2 0.500 0.500 0.000
Pu1 0.000 0.500 0.500
Mg1 0.500 0.000 0.500
Se1 0.244 0.000 0.727
Se2 0.264 0.500 0.281
Se3 0.736 0.500 0.719
Se4 0.756 0.000 0.273

=====

ScPBr2: optimized geometry, PBE.

Values from the calculation:
**Formation energy (no corrections)**: -0.267 eV/atom
**Final energy**: -4.0387 eV per atom

a b c (Å): 3.389 4.528 5.618
angles (deg): 90.00 90.00 90.00
Fractional positions:
Sc1 0.000 0.000 0.000
P1 0.500 0.000 0.500
Br1 0.000 0.500 0.500
Br2 0.500 0.500 0.000

=====

SrGaRh: optimized geometry, PBE.

Values from the calculation:
**Calculated formation energy**: -408 meV per atom
**Final energy**: -4.4282 eV per atom

a b c (Å): 3.431 3.431 11.047
angles (deg): 90.00 90.00 90.00
Fractional positions:
Sr1 0.000 0.000 0.000
Sr2 0.500 0.500 0.500
Ga1 0.000 0.000 0.714
Ga2 0.500 0.500 0.214
Rh1 0.000 0.000 0.293
Rh2 0.500 0.500 0.793

=====

Ba3P: optimized geometry, PBE.

Values from the calculation:
**Calculated formation energy**: -522 meV per atom
**Final energy**: -3.3169 eV per atom

a b c (Å): 4.134 5.546 16.161
angles (deg): 90.00 90.00 90.00
Fractional positions:
Ba1 0.000 0.000 0.000
Ba2 0.000 0.500 0.154
Ba3 0.000 0.500 0.846
Ba4 0.500 0.000 0.346
Ba5 0.500 0.000 0.654
Ba6 0.500 0.500 0.500
P1 0.000 0.000 0.500
P2 0.500 0.500 0.000

=====

Hf3TaBe2N: optimized geometry, PBE.

Values from the calculation:
**Formation energy (no corrections)**: -0.280 eV/atom
**Final energy**: -8.4934 eV per atom

a b c (Å): 4.072 4.208 13.462
angles (deg): 90.00 90.00 90.00
Fractional positions:
Hf1 0.000 0.000 0.000
Hf2 0.000 0.500 0.174
Hf3 0.000 0.500 0.826
Hf4 0.500 0.000 0.326
Hf5 0.500 0.000 0.674
Hf6 0.500 0.500 0.500
Ta1 0.000 0.000 0.500
Ta2 0.500 0.500 0.000
Be1 0.000 0.500 0.373
Be2 0.000 0.500 0.627
Be3 0.500 0.000 0.127
Be4 0.500 0.000 0.873
N1 0.000 0.500 0.000
N2 0.500 0.000 0.500

=====

MgInPt4: optimized geometry, PBE.

Values from the calculation:
**Calculated formation energy**: -430 meV per atom
**Final energy**: -5.1797 eV per atom

a b c (Å): 9.670 2.892 7.769
angles (deg): 90.00 113.71 90.00
Fractional positions:
Mg1 0.000 0.000 0.000
Mg2 0.500 0.500 0.000
In1 0.000 0.000 0.500
In2 0.500 0.500 0.500
Pt1 0.161 0.500 0.326
Pt2 0.165 0.500 0.837
Pt3 0.335 0.000 0.163
Pt4 0.339 0.000 0.674
Pt5 0.661 0.000 0.326
Pt6 0.665 0.000 0.837
Pt7 0.835 0.500 0.163
Pt8 0.839 0.500 0.674

=====

MgHg3Pt: optimized geometry, PBE.

Values from the calculation:
**Calculated formation energy**: 729 meV per atom
**Final energy**: -0.9796 eV per atom

a b c (Å): 5.183 5.183 5.183
angles (deg): 90.00 90.00 90.00
Fractional positions:
Mg1 0.000 0.000 0.000
Hg1 0.000 0.000 0.500
Hg2 0.000 0.500 0.000
Hg3 0.500 0.000 0.000
Pt1 0.500 0.500 0.500

=====

LiTePb2: optimized geometry, PBE.

Values from the calculation:
**Formation energy (no corrections)**: -0.206 eV/atom
**Final energy**: -3.3240 eV per atom

a b c (Å): 4.889 5.061 9.009
angles (deg): 90.00 90.00 90.00
Fractional positions:
Li1 0.000 0.000 0.000
Li2 0.500 0.500 0.000
Te1 0.000 0.500 0.166
Te2 0.500 0.000 0.166
Pb1 0.000 0.000 0.472
Pb2 0.000 0.500 0.742
Pb3 0.500 0.000 0.742
Pb4 0.500 0.500 0.472